[1]
# SrZr (PBEsol, relaxed)
# - space group = No. 221
# - E (eV per atom) = -4.559
# - ΔE_f (meV/atom) = 906
# - calculated volume (Å³/cell) = 61.67
# - size of the total moment (μB/f.u.) = 0.68
data_SrZr
_chemical_formula_sum 'Sr1 Zr1'
_cell_length_a 3.9509
_cell_length_b 3.9509
_cell_length_c 3.9509
_cell_angle_alpha 90.00
_cell_angle_beta 90.00
_cell_angle_gamma 90.00
_symmetry_space_group_name_H-M 'P 1'
_symmetry_Int_Tables_number 1
_symmetry_space_group_name_Hall 'P 1'
loop_
_atom_site_label
_atom_site_type_symbol
_atom_site_fract_x
_atom_site_fract_y
_atom_site_fract_z
Sr1 Sr 0.0000 0.0000 0.0000
Zr1 Zr 0.5000 0.5000 0.5000



[2]
# SrZr3 (PBEsol, relaxed)
# - space group = No. 225
# - E (eV per atom) = -6.697
# - ΔE_f (meV/atom) = 580
# - calculated volume (Å³/cell) = 99.60
# - size of the total moment (μB/f.u.) = 0.00
data_SrZr3
_chemical_formula_sum 'Sr1 Zr3'
_cell_length_a 5.2031
_cell_length_b 5.2031
_cell_length_c 5.2031
_cell_angle_alpha 60.00
_cell_angle_beta 60.00
_cell_angle_gamma 60.00
_symmetry_space_group_name_H-M 'P 1'
_symmetry_Int_Tables_number 1
_symmetry_space_group_name_Hall 'P 1'
loop_
_atom_site_label
_atom_site_type_symbol
_atom_site_fract_x
_atom_site_fract_y
_atom_site_fract_z
Sr1 Sr 0.0000 0.0000 0.0000
Zr1 Zr 0.2500 0.2500 0.2500
Zr2 Zr 0.5000 0.5000 0.5000
Zr3 Zr 0.7500 0.7500 0.7500